Entry from Alexandria: a relaxed ZrTeP2 crystal (PBE-GGA).

## Properties
volume = 99.95 Å³/cell
excess energy over the best structure of this formula in the dataset = 0.0 kJ/mol of atoms
E_tot = -6.21 eV/atom
formation energy (no corrections) = -0.587 eV per atom

extended XYZ file:
```
4
Lattice="3.747 0.000 0.000 0.000 3.527 0.000 -0.348 0.000 7.563" Properties=species:S:1:pos:R:3 pbc="T T T"
Zr 0.000 0.000 0.000
Te 1.847 1.764 1.462
P 0.068 1.764 5.306
P 1.464 0.000 5.636
```